[1]
The following is a PBE calculation of an optimized crystal structure of SbPOF2, from Alexandria via LeMat-Bulk.

Unit cell a=4.7508 b=4.7508 c=3.4025 alpha=90.00 beta=90.00 gamma=90.00
Space group P4/mmm (No. 123)
Asymmetric unit:
Sb: 0.0000 0.0000 0.0000
P: 0.5000 0.5000 0.5000
O: 0.5000 0.5000 0.0000
F: 0.0000 0.5000 0.5000

* E: -4.351 eV/atom
* magnetic moment: 0.0 μB/cell
* ΔE_f (raw): -3.522 eV/f.u.

[2]
The following is a PBE calculation of an optimized crystal structure of MgCdMo2Pd, from Alexandria via LeMat-Bulk.

Unit cell a=5.0657 b=5.0657 c=4.8451 alpha=90.00 beta=90.00 gamma=90.00
Space group P4/mmm (No. 123)
Asymmetric unit:
Mg: 0.0000 0.0000 0.0000
Cd: 0.0000 0.0000 0.5000
Mo: 0.0000 0.5000 0.5000
Pd: 0.5000 0.5000 0.0000

* DFT formation energy: 1.9298 eV/atom
* E: -3.943 eV/atom
* magnetic moment: 6.0 μB/cell

[3]
The following is a PBE calculation of an optimized crystal structure of UAg2Pd5, from Alexandria via LeMat-Bulk.

Unit cell a=4.1546 b=4.1546 c=15.8879 alpha=90.00 beta=90.00 gamma=90.00
Space group I4/mmm (No. 139)
Asymmetric unit:
U: 0.0000 0.0000 0.0000
Ag: 0.0000 0.0000 0.2525
Pd: 0.0000 0.0000 0.5000
Pd: 0.0000 0.5000 0.1222

* DFT formation energy: -0.3285 eV/atom
* E: -5.698 eV/atom
* magnetic moment: 3.0 μB/cell

[4]
The following is a PBE calculation of an optimized crystal structure of Sn2PPd, from Alexandria via LeMat-Bulk.

Unit cell a=6.2466 b=6.2466 c=11.2272 alpha=90.00 beta=90.00 gamma=90.00
Space group I-42d (No. 122)
Asymmetric unit:
Sn: 0.2483 0.2500 0.1250
P: 0.0000 0.0000 0.5000
Pd: 0.0000 0.0000 0.0000

* DFT formation energy: -0.0414 eV/atom
* E: -4.693 eV/atom
* magnetic moment: 0.0 μB/cell

[5]
The following is a PBE calculation of an optimized crystal structure of Ag4AsW, from Alexandria via LeMat-Bulk.

Unit cell a=7.6949 b=7.6949 c=7.6949 alpha=90.00 beta=90.00 gamma=90.00
Space group F-43m (No. 216)
Asymmetric unit:
Ag: 0.1253 0.1253 0.1253
As: 0.2500 0.2500 0.7500
W: 0.0000 0.0000 0.5000

* DFT formation energy: 0.8506 eV/atom
* E: -3.984 eV/atom
* magnetic moment: 13.6 μB/cell

[6]
The following is a PBE calculation of an optimized crystal structure of Pm5PrHo3, from Alexandria via LeMat-Bulk.

Unit cell a=8.4093 b=8.4093 c=17.2763 alpha=90.00 beta=90.00 gamma=90.00
Space group I4/mcm (No. 140)
Asymmetric unit:
Pm: 0.0000 0.0000 0.0000
Pm: 0.1994 0.3006 0.1365
Pr: 0.0000 0.5000 0.2500
Ho: 0.0000 0.0000 0.2500
Ho: 0.1250 0.3750 0.5000

* DFT formation energy: 0.2820 eV/atom
* E: -4.414 eV/atom
* magnetic moment: 0.0 μB/cell

[7]
The following is a PBE calculation of an optimized crystal structure of U3GeRu4, from Alexandria via LeMat-Bulk.

Unit cell a=5.6433 b=8.7947 c=5.8709 alpha=90.00 beta=90.00 gamma=90.00
Space group Imm2 (No. 44)
Asymmetric unit:
U: 0.0000 0.0000 0.0000
U: 0.0000 0.2857 0.7592
Ge: 0.0000 0.5000 0.3703
Ru: 0.0000 0.2297 0.2558
Ru: 0.2480 0.0000 0.5135

* DFT formation energy: -0.2064 eV/atom
* E: -9.655 eV/atom
* magnetic moment: 7.7 μB/cell

[8]
The following is a PBE calculation of an optimized crystal structure of Sc3Ta, from Alexandria via LeMat-Bulk.

Unit cell a=3.1501 b=10.0054 c=5.5701 alpha=90.00 beta=90.00 gamma=90.00
Space group Imm2 (No. 44)
Asymmetric unit:
Sc: 0.0000 0.0000 0.0000
Sc: 0.0000 0.2446 0.3298
Ta: 0.0000 0.5000 0.0032

* DFT formation energy: 0.1209 eV/atom
* E: -7.591 eV/atom
* magnetic moment: 0.0 μB/cell